# Hf3Zr3TaN8 | Alexandria | PBE | relaxed
# calculated total energy = -10.527 eV per atom
# formation energy without anion corrections = -1.60 eV per atom
# space group = R-3m, No. 166
data_Hf3Zr3TaN8
_chemical_formula_sum 'Hf3 Zr3 Ta1 N8'
_symmetry_space_group_name_H-M 'P 1'
_symmetry_Int_Tables_number 1
_cell_length_a 6.4014
_cell_length_b 6.4016
_cell_length_c 6.4218
_cell_angle_alpha 119.89
_cell_angle_beta 90.00
_cell_angle_gamma 120.00
loop_
_symmetry_equiv_pos_as_xyz
'x,y,z'
loop_
_atom_site_label
_atom_site_fract_x
_atom_site_fract_y
_atom_site_fract_z
N1 0.7620 0.0072 0.2692
N2 0.7459 0.4918 0.7377
Hf1 0.0000 0.5000 0.5000
N3 0.2380 0.4759 0.7308
N4 0.7549 0.9928 0.7308
N5 0.2380 0.9928 0.7308
N6 0.2541 0.5082 0.2623
Zr1 0.0000 0.5000 0.0000
Zr2 0.0000 0.0000 0.0000
Hf2 0.5000 0.0000 0.5000
Hf3 0.5000 0.5000 0.5000
N7 0.7620 0.5241 0.2692
Ta1 0.0000 0.0000 0.5000
Zr3 0.5000 0.5000 0.0000
N8 0.2451 0.0072 0.2692

=====

# HoErGa | Alexandria | PBE | relaxed
# calculated total energy = -4.447 eV per atom
# space group = P-1, No. 2
# distance to the lowest polymorph of the same formula = 0.00 kcal/mol of atoms
# DFT formation energy = -0.391 eV/atom
data_HoErGa
_chemical_formula_sum 'Ho2 Er2 Ga2'
_symmetry_space_group_name_H-M 'P 1'
_symmetry_Int_Tables_number 1
_cell_length_a 3.6376
_cell_length_b 5.1155
_cell_length_c 8.3259
_cell_angle_alpha 90.03
_cell_angle_beta 102.62
_cell_angle_gamma 90.00
loop_
_symmetry_equiv_pos_as_xyz
'x,y,z'
loop_
_atom_site_label
_atom_site_fract_x
_atom_site_fract_y
_atom_site_fract_z
Ho1 0.0073 0.0249 0.7015
Er1 0.1534 0.5253 0.9932
Ga1 0.3533 0.0264 0.3924
Ho2 0.8529 0.5260 0.3915
Er2 0.7067 0.0256 0.0998
Ga2 0.5069 0.5245 0.7006

=====

# TbNdZr | Alexandria | PBE | relaxed
# calculated total energy = -5.844 eV per atom
# space group = P2_1/m, No. 11
# distance to the lowest polymorph of the same formula = 0.76 kcal/mol of atoms
# DFT formation energy = 0.138 eV/atom
data_TbNdZr
_chemical_formula_sum 'Tb2 Nd2 Zr2'
_symmetry_space_group_name_H-M 'P 1'
_symmetry_Int_Tables_number 1
_cell_length_a 4.8649
_cell_length_b 3.4022
_cell_length_c 10.7458
_cell_angle_alpha 99.20
_cell_angle_beta 90.00
_cell_angle_gamma 90.00
loop_
_symmetry_equiv_pos_as_xyz
'x,y,z'
loop_
_atom_site_label
_atom_site_fract_x
_atom_site_fract_y
_atom_site_fract_z
Zr1 0.8469 0.7802 0.9809
Zr2 0.3469 0.2097 0.8426
Tb1 0.3469 0.3599 0.1392
Nd1 0.3469 0.0439 0.5138
Tb2 0.8469 0.6300 0.6844
Nd2 0.8469 0.9460 0.3098

=====

# InSn2Hg | Alexandria | PBE | relaxed
# calculated total energy = -2.680 eV per atom
# space group = P4/mmm, No. 123
# distance to the lowest polymorph of the same formula = 1.09 kcal/mol of atoms
# DFT formation energy = 0.082 eV/atom
data_InSn2Hg
_chemical_formula_sum 'In1 Sn2 Hg1'
_symmetry_space_group_name_H-M 'P 1'
_symmetry_Int_Tables_number 1
_cell_length_a 3.7701
_cell_length_b 3.7701
_cell_length_c 7.5479
_cell_angle_alpha 90.00
_cell_angle_beta 90.00
_cell_angle_gamma 90.00
loop_
_symmetry_equiv_pos_as_xyz
'x,y,z'
loop_
_atom_site_label
_atom_site_fract_x
_atom_site_fract_y
_atom_site_fract_z
In1 0.5000 0.5000 0.5000
Sn1 0.0000 0.0000 0.7577
Hg1 0.5000 0.5000 0.0000
Sn2 0.0000 0.0000 0.2423

=====

What did the third record say?
# TbNdZr | Alexandria | PBE | relaxed
# calculated total energy = -5.844 eV per atom
# space group = P2_1/m, No. 11
# distance to the lowest polymorph of the same formula = 0.76 kcal/mol of atoms
# DFT formation energy = 0.138 eV/atom
data_TbNdZr
_chemical_formula_sum 'Tb2 Nd2 Zr2'
_symmetry_space_group_name_H-M 'P 1'
_symmetry_Int_Tables_number 1
_cell_length_a 4.8649
_cell_length_b 3.4022
_cell_length_c 10.7458
_cell_angle_alpha 99.20
_cell_angle_beta 90.00
_cell_angle_gamma 90.00
loop_
_symmetry_equiv_pos_as_xyz
'x,y,z'
loop_
_atom_site_label
_atom_site_fract_x
_atom_site_fract_y
_atom_site_fract_z
Zr1 0.8469 0.7802 0.9809
Zr2 0.3469 0.2097 0.8426
Tb1 0.3469 0.3599 0.1392
Nd1 0.3469 0.0439 0.5138
Tb2 0.8469 0.6300 0.6844
Nd2 0.8469 0.9460 0.3098

=====

> calculated total energy of number 2 (HoErGa)?

-4.447 eV per atom

=====

> What is the calculated total energy in the first record?

-10.527 eV per atom

=====

> Number 3 is which compound?

TbNdZr